Density functional theory data (PBE) for a geometry-optimized Pm8Sm3Dy2 structure.

Summary:
Calculated formation energy in meV/atom: 215
Distance to the lowest polymorph of the same formula in meV/atom: 112
Magnetic moment in μB/atom: 0.0000
DFT total energy in eV/f.u.: -58.6

Cell: 20.427 7.729 5.766 Å, 90.00 90.04 90.00°
Space group C2/m (No. 12)
Unique sites:
1 Pm 0.107 0.207 0.000 [8 per cell]
2 Pm 0.134 0.500 0.499 [4 per cell]
3 Pm 0.174 0.000 0.501 [4 per cell]
4 Sm 0.000 0.212 0.500 [4 per cell]
5 Sm 0.000 0.500 0.000 [2 per cell]
6 Dy 0.241 0.500 0.999 [4 per cell]